Record 1
Entry from Alexandria: a relaxed ThCd4Bi crystal (PBE).

a b c (Å): 8.5239 8.5239 8.5239
angles (deg): 90.00 90.00 90.00
With the nearest neighbours (Å) after each atom.
Space group F-43m (No. 216)
One atom of each set of equivalent atoms:
Th (0.0000, 0.0000, 0.0000) x4  12 Cd 3.53, 4 Bi 3.69
Cd (0.1249, 0.1249, 0.3751) x16  6 Cd 3.01-3.02
Bi (0.2500, 0.2500, 0.7500) x4  12 Cd 3.53, 4 Th 3.69

Values from the calculation:
The density comes out at 9.552 g/cm³. The volume comes out at 619 Å³ per cell. For the total energy, the calculation gives -0.0916 hartree per atom. The value obtained for the total magnetic moment is 0.0 μB/f.u.

Record 2
Entry from Alexandria: a relaxed NdYZnRh crystal (PBE).

a b c (Å): 7.1172 7.1172 7.1172
angles (deg): 90.00 90.00 90.00
With the nearest neighbours (Å) after each atom.
Space group F-43m (No. 216)
One atom of each set of equivalent atoms:
Nd (0.0000, 0.0000, 0.0000) x4  4 Zn 3.08, 4 Rh 3.08
Y (0.0000, 0.0000, 0.5000) x4  4 Rh 3.08, 4 Zn 3.08
Zn (0.2500, 0.2500, 0.2500) x4  4 Y 3.08, 4 Nd 3.08
Rh (0.2500, 0.2500, 0.7500) x4  4 Nd 3.08, 4 Y 3.08

Values from the calculation:
The density comes out at 7.397 g/cm³. The volume comes out at 361 Å³ per cell. For the total energy, the calculation gives -0.2019 hartree per atom. The value obtained for the offset from the most stable computed form is 18 meV/atom. The value obtained for the total magnetic moment is 0.0 μB/f.u.

Record 3
Entry from Alexandria: a relaxed ZrAsO2 crystal (PBE).

a b c (Å): 3.1701 3.1701 20.2312
angles (deg): 90.00 90.00 120.00
With the nearest neighbours (Å) after each atom.
Space group R-3m (No. 166, hexagonal axes)
One atom of each set of equivalent atoms:
Zr (0.0000, 0.0000, 0.0000) x3  6 O 2.18
As (0.0000, 0.0000, 0.5000) x3  2 O 2.19
O (0.0000, 0.0000, 0.3919) x6  3 Zr 2.18, 1 As 2.19

Values from the calculation:
The density comes out at 5.606 g/cm³. The volume comes out at 176 Å³ per cell. For the total energy, the calculation gives -0.2797 hartree per atom. The value obtained for the total magnetic moment is 0.0 μB/f.u.

Record 4
Entry from Alexandria: a relaxed Zn4Ir2Pt crystal (PBE).

a b c (Å): 5.9568 8.5378 4.2743
angles (deg): 90.00 90.00 90.00
With the nearest neighbours (Å) after each atom.
Space group Cmmm (No. 65)
One atom of each set of equivalent atoms:
Zn (0.2169, 0.0000, 0.0000) x4  1 Zn 2.58, 4 Ir 2.61, 2 Pt 2.72
Zn (0.2500, 0.2500, 0.5000) x4  2 Pt 2.60, 4 Ir 2.61
Ir (0.0000, 0.2660, 0.0000) x4  8 Zn 2.61
Pt (0.0000, 0.5000, 0.5000) x2  8 Zn 2.60-2.72

Values from the calculation:
The density comes out at 12.851 g/cm³. The volume comes out at 217 Å³ per cell. For the total energy, the calculation gives -0.1617 hartree per atom. The value obtained for the total magnetic moment is 0.0 μB/f.u.

Record 5
Entry from Alexandria: a relaxed SmAl2Ge2 crystal (PBE).

a b c (Å): 4.2854 4.2854 6.7967
angles (deg): 90.00 90.00 120.00
With the nearest neighbours (Å) after each atom.
Space group P-3m1 (No. 164)
One atom of each set of equivalent atoms:
Sm (0.0000, 0.0000, 0.0000) x1  6 Ge 3.05
Al (0.3333, 0.6667, 0.6431) x2  4 Ge 2.56-2.59
Ge (0.3333, 0.6667, 0.2623) x2  4 Al 2.56-2.59

Values from the calculation:
The density comes out at 5.371 g/cm³. The volume comes out at 108 Å³ per cell. For the total energy, the calculation gives -0.1736 hartree per atom. The value obtained for the total magnetic moment is 0.0 μB/f.u.

Record 6
Entry from Alexandria: a relaxed BeMoRh crystal (PBE).

a b c (Å): 2.7801 2.7801 9.7266
angles (deg): 90.00 90.00 90.00
With the nearest neighbours (Å) after each atom.
Space group I4mm (No. 107)
One atom of each set of equivalent atoms:
Be (0.0000, 0.0000, 0.0000) x2  4 Rh 2.36, 4 Mo 2.58
Mo (0.0000, 0.0000, 0.3285) x2  4 Be 2.58, 4 Rh 2.73, 4 Mo 2.78
Rh (0.0000, 0.0000, 0.6335) x2  4 Be 2.36

Values from the calculation:
The density comes out at 9.183 g/cm³. The volume comes out at 75 Å³ per cell. For the total energy, the calculation gives -0.2793 hartree per atom. The value obtained for the offset from the most stable computed form is 0 meV/atom. The value obtained for the total magnetic moment is 0.0 μB/f.u.

Record 7
Entry from Alexandria: a relaxed K5RbBa2 crystal (PBE).

a b c (Å): 6.3115 6.3115 28.7463
angles (deg): 90.00 90.00 90.00
With the nearest neighbours (Å) after each atom.
Space group I4/mmm (No. 139)
One atom of each set of equivalent atoms:
K (0.0000, 0.0000, 0.0000) x2  4 Rb 4.46, 8 K 4.86
K (0.0000, 0.5000, 0.1287) x8  6 K 4.46-4.86, 4 Ba 4.70, 2 Rb 4.86
Rb (0.0000, 0.0000, 0.5000) x2  12 K 4.46-4.86
Ba (0.0000, 0.0000, 0.2500) x4  4 Ba 4.46, 8 K 4.70

Values from the calculation:
The density comes out at 1.611 g/cm³. The volume comes out at 1145 Å³ per cell. For the total energy, the calculation gives -0.0449 hartree per atom. The value obtained for the total magnetic moment is 0.0 μB/f.u.

Record 8
Entry from Alexandria: a relaxed KNaF crystal (PBE).

a b c (Å): 3.7512 3.7512 6.5760
angles (deg): 90.00 90.00 120.00
With the nearest neighbours (Å) after each atom.
Space group P3m1 (No. 156)
One atom of each set of equivalent atoms:
K (0.0000, 0.0000, 0.0000) x1  3 F 2.66
Na (0.3333, 0.6667, 0.4445) x1  3 F 2.56
F (0.6667, 0.3333, 0.2360) x1  3 Na 2.56, 3 K 2.66

Values from the calculation:
The density comes out at 1.680 g/cm³. The volume comes out at 80 Å³ per cell. For the total energy, the calculation gives -0.1143 hartree per atom. The value obtained for the offset from the most stable computed form is 0 meV/atom. The value obtained for the total magnetic moment is 0.0 μB/f.u.

Record 9
Entry from Alexandria: a relaxed LiZnPt2 crystal (PBE).

a b c (Å): 6.1765 6.1765 6.1765
angles (deg): 90.00 90.00 90.00
With the nearest neighbours (Å) after each atom.
Space group F-43m (No. 216)
One atom of each set of equivalent atoms:
Li (0.0000, 0.0000, 0.0000) x4  4 Pt 2.67, 4 Zn 2.67
Zn (0.2500, 0.2500, 0.2500) x4  4 Li 2.67, 4 Pt 2.67
Pt (0.0000, 0.0000, 0.5000) x4  4 Zn 2.67, 4 Pt 2.67
Pt (0.2500, 0.2500, 0.7500) x4  4 Pt 2.67, 4 Li 2.67

Values from the calculation:
The density comes out at 13.038 g/cm³. The volume comes out at 236 Å³ per cell. For the total energy, the calculation gives -0.1561 hartree per atom. The value obtained for the total magnetic moment is 0.0 μB/f.u.

Record 10
Entry from Alexandria: a relaxed SrMg2Te crystal (PBE).

a b c (Å): 4.8913 4.8913 9.9890
angles (deg): 90.00 90.00 90.00
With the nearest neighbours (Å) after each atom.
Space group I-4m2 (No. 119)
One atom of each set of equivalent atoms:
Sr (0.0000, 0.0000, 0.0000) x2  8 Mg 3.46-3.50, 4 Te 3.50
Mg (0.0000, 0.0000, 0.5000) x2  4 Sr 3.46, 4 Te 3.50, 4 Mg 3.50
Mg (0.0000, 0.5000, 0.2500) x2  4 Te 3.46, 4 Mg 3.50, 4 Sr 3.50
Te (0.0000, 0.5000, 0.7500) x2  8 Mg 3.46-3.50, 4 Sr 3.50

Values from the calculation:
The density comes out at 3.666 g/cm³. The volume comes out at 239 Å³ per cell. For the total energy, the calculation gives -0.0883 hartree per atom. The value obtained for the total magnetic moment is 0.0 μB/f.u.

Record 11
Entry from Alexandria: a relaxed Co2H2Os crystal (PBE).

a b c (Å): 5.7030 5.7030 2.6594
angles (deg): 90.00 90.00 90.00
With the nearest neighbours (Å) after each atom.
Space group P4/mbm (No. 127)
One atom of each set of equivalent atoms:
Co (0.1444, 0.3556, 0.0000) x4  2 H 1.71
H (0.2225, 0.7225, 0.5000) x4  2 Co 1.71
Os (0.0000, 0.0000, 0.5000) x2  4 H 2.03

Values from the calculation:
The density comes out at 11.907 g/cm³. The volume comes out at 86 Å³ per cell. For the total energy, the calculation gives -0.2224 hartree per atom. The value obtained for the offset from the most stable computed form is 267 meV/atom. The value obtained for the total magnetic moment is 1.6 μB/f.u.

Record 12
Entry from Alexandria: a relaxed Nd3TcO7 crystal (PBE).

a b c (Å): 7.8179 10.8573 7.6535
angles (deg): 90.00 90.00 90.00
With the nearest neighbours (Å) after each atom.
Space group C222_1 (No. 20)
One atom of each set of equivalent atoms:
Nd (0.0405, 0.0000, 0.0000) x4  6 O 2.40-2.44
Nd (0.2316, 0.2701, 0.7592) x8  7 O 2.32-2.56
Tc (0.0009, 0.5000, 0.0000) x4  6 O 1.92-2.05
O (0.0000, 0.1300, 0.2500) x4  4 Nd 2.36-2.40
O (0.0000, 0.1368, 0.7500) x4  4 Nd 2.32-2.44
O (0.0000, 0.4366, 0.7500) x4  2 Tc 2.03
O (0.1694, 0.3747, 0.0398) x8  1 Tc 1.92
O (0.1991, 0.3795, 0.4777) x8  1 Tc 2.05

Values from the calculation:
The density comes out at 6.571 g/cm³. The volume comes out at 650 Å³ per cell. For the total energy, the calculation gives -0.3000 hartree per atom. The value obtained for the total magnetic moment is 2.0 μB/f.u.

Record 13
Entry from Alexandria: a relaxed Cs2U2TiTe6 crystal (PBE).

a b c (Å): 7.4407 12.8132 9.6313
angles (deg): 90.00 105.85 90.00
With the nearest neighbours (Å) after each atom.
Space group C2/m (No. 12)
One atom of each set of equivalent atoms:
Cs (0.0000, 0.1712, 0.0000) x4  6 Te 3.80-3.85, 2 Cs 4.23
U (0.0000, 0.3315, 0.5000) x4  6 Te 3.07-3.08
Ti (0.0000, 0.0000, 0.5000) x2  6 Te 2.90-2.91
Te (0.2255, 0.1555, 0.6874) x8  1 Ti 2.90, 2 U 3.08
Te (0.2492, 0.5000, 0.6844) x4  1 Ti 2.91, 2 U 3.07

Values from the calculation:
The density comes out at 5.847 g/cm³. The volume comes out at 883 Å³ per cell. For the total energy, the calculation gives -0.2005 hartree per atom. The value obtained for the total magnetic moment is 6.0 μB/f.u.

Record 14
Entry from Alexandria: a relaxed Tl2Ag2Cl5 crystal (PBE).

a b c (Å): 21.2575 7.1209 7.1014
angles (deg): 90.00 90.00 90.00
With the nearest neighbours (Å) after each atom.
Space group Ima2 (No. 46)
One atom of each set of equivalent atoms:
Tl (0.1123, 0.0196, 0.0000) x8  7 Cl 3.13-3.51
Ag (0.0000, 0.0000, 0.4883) x4  4 Cl 2.52
Ag (0.2500, 0.5565, 0.0196) x4  4 Cl 2.48-2.66
Cl (0.0055, 0.7478, 0.2402) x8  2 Ag 2.52
Cl (0.1378, 0.0286, 0.4716) x8  1 Ag 2.48
Cl (0.2500, 0.5948, 0.3917) x4  2 Ag 2.64-2.66

Values from the calculation:
The density comes out at 4.954 g/cm³. The volume comes out at 1075 Å³ per cell. For the total energy, the calculation gives -0.1052 hartree per atom. The value obtained for the offset from the most stable computed form is 4 meV/atom. The value obtained for the total magnetic moment is 0.0 μB/f.u.

Record 15
Entry from Alexandria: a relaxed KSm2ZnO5 crystal (PBE).

a b c (Å): 6.7270 6.7270 11.6065
angles (deg): 90.00 90.00 90.00
With the nearest neighbours (Å) after each atom.
Space group I4/mcm (No. 140)
One atom of each set of equivalent atoms:
K (0.0000, 0.0000, 0.2500) x4  10 O 2.90-2.98
Sm (0.1728, 0.3272, 0.0000) x8  8 O 2.30-2.55
Zn (0.0000, 0.5000, 0.2500) x4  4 O 1.97
O (0.0000, 0.0000, 0.0000) x4  4 Sm 2.49
O (0.1387, 0.3613, 0.3756) x16  1 Zn 1.97

Values from the calculation:
The density comes out at 6.136 g/cm³. The volume comes out at 525 Å³ per cell. For the total energy, the calculation gives -0.2366 hartree per atom. The value obtained for the total magnetic moment is 1.0 μB/f.u.

Record 16
Entry from Alexandria: a relaxed CrInRu2 crystal (PBE).

a b c (Å): 3.1119 3.1119 6.3053
angles (deg): 90.00 90.00 90.00
With the nearest neighbours (Å) after each atom.
Space group P4mm (No. 99)
One atom of each set of equivalent atoms:
Cr (0.0000, 0.0000, 0.0000) x1  4 Ru 2.45
In (0.5000, 0.5000, 0.2942) x1  5 Ru 2.78-2.93, 4 Cr 2.88
Ru (0.0000, 0.0000, 0.5624) x1  1 Cr 2.76, 4 Ru 2.77, 4 In 2.78
Ru (0.5000, 0.5000, 0.8292) x1  4 Cr 2.45

Values from the calculation:
The density comes out at 10.034 g/cm³. The volume comes out at 61 Å³ per cell. For the total energy, the calculation gives -0.2714 hartree per atom. The value obtained for the total magnetic moment is 0.0 μB/f.u.